Record 1
An optimized crystal structure of AgPb3O3. Source: the Alexandria database, functional GGA-PBE.

Unit cell a=7.9252 b=7.9252 c=5.1896 alpha=90.00 beta=90.00 gamma=120.00
Last column: nearest neighbours and their distance in Å.
Space group P6_3/m (No. 176)
Symmetry-distinct sites (fractional):
Ag1 0.3333 0.6667 0.2500 x2  3 O 2.56
Pb1 0.1207 0.3552 0.7500 x6  2 O 2.30-2.31
O1 0.1006 0.2982 0.2500 x6  2 Pb 2.30-2.31, 1 Ag 2.56

Output
* crystal system: hexagonal

---

Record 2
An optimized crystal structure of AgPbO2. Source: the Alexandria database, functional GGA-PBE.

Unit cell a=8.3306 b=10.3516 c=5.8258 alpha=90.00 beta=134.31 gamma=90.00
Last column: nearest neighbours and their distance in Å.
Space group C2/c (No. 15)
Symmetry-distinct sites (fractional):
Ag1 0.0000 0.0344 0.2500 x4  4 O 2.18
Pb1 0.0000 0.3806 0.7500 x4  4 O 2.37
O1 0.2342 0.4998 0.2344 x8  2 Ag 2.18, 2 Pb 2.37

Output
* crystal system: monoclinic

---

Record 3
An optimized crystal structure of Ag33Pb14O42. Source: the Alexandria database, functional GGA-PBE.

Unit cell a=8.8739 b=8.8941 c=19.2155 alpha=85.98 beta=85.60 gamma=71.78
Last column: nearest neighbours and their distance in Å.
Space group P-1 (No. 2)
Symmetry-distinct sites (fractional):
Ag1 0.0000 0.0000 0.0000 x1  2 O 2.15
Ag2 0.0258 0.5246 0.3208 x2  3 O 2.31-2.33
Ag3 0.0750 0.0657 0.1433 x2  2 O 2.14
Ag4 0.1131 0.6202 0.9601 x2  3 O 2.30-2.32
Ag5 0.1416 0.1418 0.2869 x2  2 O 2.15
Ag6 0.1418 0.6463 0.7867 x2  2 O 2.15
Ag7 0.1678 0.6692 0.6090 x2  3 O 2.26-2.36
Ag8 0.2042 0.2224 0.4289 x2  2 O 2.14
Ag9 0.2614 0.7583 0.2459 x2  3 O 2.32-2.33
Ag10 0.2778 0.2965 0.5715 x2  2 O 2.13-2.14
Ag11 0.2892 0.7802 0.0673 x2  2 O 2.14
Ag12 0.3150 0.8119 0.8961 x2  3 O 2.26-2.36
Ag13 0.3585 0.3598 0.7142 x2  2 O 2.15
Ag14 0.4008 0.9011 0.5310 x2  3 O 2.33
Ag15 0.4274 0.4347 0.8595 x2  2 O 2.14
Ag16 0.4294 0.9285 0.3595 x2  2 O 2.14
Ag17 0.4570 0.9557 0.1810 x2  3 O 2.33-2.34
Pb1 0.0499 0.8757 0.4300 x2  6 O 2.20-2.28
Pb2 0.0947 0.2650 0.8588 x2  6 O 2.27-2.28
Pb3 0.1894 0.0280 0.7133 x2  6 O 2.27-2.28
Pb4 0.2447 0.4008 0.1410 x2  6 O 2.19-2.28
Pb5 0.3363 0.1692 0.0012 x2  6 O 2.20-2.28
Pb6 0.3761 0.5496 0.4302 x2  6 O 2.19-2.28
Pb7 0.4752 0.3086 0.2869 x2  6 O 2.26-2.27
O1 0.0095 0.5025 0.2026 x2  2 Ag 2.15-2.31, 2 Pb 2.27
O2 0.0105 0.8817 0.2041 x2  2 Ag 2.14-2.33, 2 Pb 2.27-2.28
O3 0.0421 0.9239 0.6512 x2  2 Ag 2.15-2.36, 2 Pb 2.27
O4 0.0961 0.2294 0.6327 x2  2 Ag 2.13-2.32, 2 Pb 2.27
O5 0.1327 0.2530 0.0823 x2  2 Ag 2.14-2.30, 2 Pb 2.27-2.28
O6 0.1395 0.6318 0.0787 x2  2 Ag 2.14-2.32, 2 Pb 2.27-2.28
O7 0.1515 0.0319 0.4894 x2  2 Ag 2.14-2.33, 2 Pb 2.26-2.28
O8 0.1554 0.6565 0.4925 x2  2 Pb 2.19-2.20, 1 Ag 2.26
O9 0.1867 0.0650 0.9395 x2  2 Ag 2.15-2.36, 2 Pb 2.27-2.28
O10 0.2441 0.3690 0.9205 x2  2 Ag 2.14-2.32, 2 Pb 2.27-2.28
O11 0.2718 0.4031 0.3674 x2  2 Ag 2.14-2.33, 2 Pb 2.27
O12 0.2808 0.7787 0.3645 x2  2 Ag 2.14-2.32, 2 Pb 2.28
O13 0.2919 0.7960 0.7758 x2  2 Ag 2.15-2.35, 2 Pb 2.27
O14 0.2948 0.1752 0.7758 x2  2 Ag 2.15-2.33, 2 Pb 2.28
O15 0.3275 0.2041 0.2253 x2  2 Ag 2.15-2.34, 2 Pb 2.27-2.28
O16 0.3880 0.5069 0.2043 x2  2 Ag 2.14-2.33, 2 Pb 2.27
O17 0.4215 0.5434 0.6514 x2  2 Ag 2.15-2.36, 2 Pb 2.26-2.28
O18 0.4214 0.9220 0.6500 x2  2 Ag 2.14-2.33, 2 Pb 2.27
O19 0.4344 0.9336 0.0622 x2  2 Ag 2.14-2.33, 2 Pb 2.25-2.28
O20 0.4408 0.3048 0.0639 x2  2 Pb 2.19-2.20, 1 Ag 2.26
O21 0.4681 0.3493 0.5103 x2  2 Ag 2.14-2.33, 2 Pb 2.26-2.28

Output
* crystal system: triclinic

---

Record 4
An optimized crystal structure of Ag5Pb2O6. Source: the Alexandria database, functional GGA-PBE.

Unit cell a=6.0581 b=6.0581 c=6.5339 alpha=90.00 beta=90.00 gamma=120.00
Last column: nearest neighbours and their distance in Å.
Space group P-31m (No. 162)
Symmetry-distinct sites (fractional):
Ag1 0.0000 0.0000 0.2287 x2  3 O 2.34
Ag2 0.0000 0.5000 0.0000 x3  2 O 2.15
Pb1 0.3333 0.6667 0.5000 x2  6 O 2.28
O1 0.0000 0.3769 0.3082 x6  2 Ag 2.15-2.34, 2 Pb 2.28

Output
* crystal system: trigonal

---

Record 5
An optimized crystal structure of AgPb2O. Source: the Alexandria database, functional GGA-PBE.

Unit cell a=6.0166 b=6.0166 c=12.1031 alpha=90.00 beta=90.00 gamma=90.00
Last column: nearest neighbours and their distance in Å.
Space group I-42d (No. 122)
Symmetry-distinct sites (fractional):
Ag1 0.0000 0.0000 0.0000 x4  4 Pb 2.87
Pb1 0.1804 0.2500 0.6250 x8  2 O 2.39
O1 0.0000 0.0000 0.5000 x4  4 Pb 2.39

Output
* crystal system: tetragonal

---

Record 6
An optimized crystal structure of Ag3Pb2O6. Source: the Alexandria database, functional GGA-PBE.

Unit cell a=10.2166 b=5.8875 c=13.4159 alpha=90.00 beta=105.10 gamma=90.00
Last column: nearest neighbours and their distance in Å.
Space group C2/c (No. 15)
Symmetry-distinct sites (fractional):
Ag1 0.0000 0.0530 0.2500 x4  2 O 2.04
Ag2 0.1506 0.4028 0.7503 x8  2 O 2.04
Pb1 0.0843 0.2500 0.0025 x8  6 O 2.20-2.21
O1 0.0287 0.0575 0.4066 x8  1 Ag 2.04, 2 Pb 2.20-2.21
O2 0.0912 0.4374 0.5934 x8  1 Ag 2.04, 2 Pb 2.20-2.21
O3 0.2165 0.3717 0.9071 x8  1 Ag 2.04, 2 Pb 2.20-2.21

Output
* crystal system: monoclinic

---

Record 7
An optimized crystal structure of Ag6PbO4. Source: the Alexandria database, functional GGA-PBE.

Unit cell a=7.0361 b=7.0361 c=8.4860 alpha=90.00 beta=90.00 gamma=90.00
Last column: nearest neighbours and their distance in Å.
Space group I-42m (No. 121)
Symmetry-distinct sites (fractional):
Ag1 0.0000 0.5000 0.0000 x4  4 O 2.51
Ag2 0.2401 0.2401 0.2186 x8  2 O 2.11-2.15
Pb1 0.0000 0.0000 0.5000 x2  4 O 2.34
O1 0.2337 0.2337 0.4676 x8  2 Ag 2.11-2.15, 1 Pb 2.34

Output
* crystal system: tetragonal

---

Record 8
An optimized crystal structure of Ag3PbO. Source: the Alexandria database, functional GGA-PBE.

Unit cell a=4.6147 b=4.6147 c=4.6147 alpha=90.00 beta=90.00 gamma=90.00
Last column: nearest neighbours and their distance in Å.
Space group Pm-3m (No. 221)
Symmetry-distinct sites (fractional):
Ag1 0.0000 0.0000 0.5000 x3  2 O 2.31
Pb1 0.5000 0.5000 0.5000 x1  12 Ag 3.26
O1 0.0000 0.0000 0.0000 x1  6 Ag 2.31

Output
* relative energy among the computed polymorphs: 0.0 meV/atom
* crystal system: cubic

---

Record 9
An optimized crystal structure of Ag3PbO. Source: the Alexandria database, functional GGA-PBE.

Unit cell a=5.3736 b=5.3736 c=5.3736 alpha=90.00 beta=90.00 gamma=90.00
Last column: nearest neighbours and their distance in Å.
Space group Pm-3m (No. 221)
Symmetry-distinct sites (fractional):
Ag1 0.0000 0.0000 0.5000 x3  2 Pb 2.69
Pb1 0.0000 0.0000 0.0000 x1  6 Ag 2.69
O1 0.5000 0.5000 0.5000 x1  12 Ag 3.80

Output
* relative energy among the computed polymorphs: 1129.1 meV/atom
* crystal system: cubic

---

Record 10
An optimized crystal structure of AgPb3O6. Source: the Alexandria database, functional GGA-PBE.

Unit cell a=8.9193 b=11.4062 c=5.8527 alpha=90.00 beta=90.00 gamma=90.00
Last column: nearest neighbours and their distance in Å.
Space group Cmc2_1 (No. 36)
Symmetry-distinct sites (fractional):
Ag1 0.0000 0.1634 0.0000 x4  4 O 2.26-2.41
Pb1 0.0000 0.3960 0.4282 x4  7 O 2.25-2.44
Pb2 0.1981 0.1216 0.4848 x8  6 O 2.21-2.40
O1 0.0000 0.0226 0.3638 x4  2 Pb 2.21, 1 Ag 2.27
O2 0.0000 0.2292 0.6351 x4  3 Pb 2.25-2.32, 1 Ag 2.26
O3 0.1630 0.4784 0.6988 x8  4 Pb 2.35-2.44
O4 0.1677 0.2763 0.2370 x8  3 Pb 2.23-2.31, 1 Ag 2.41

Output
* crystal system: orthorhombic

---

Record 11
An optimized crystal structure of AgPbO2. Source: the Alexandria database, functional GGA-PBE.

Unit cell a=6.4737 b=3.5694 c=6.8356 alpha=90.00 beta=110.59 gamma=90.00
Last column: nearest neighbours and their distance in Å.
Space group P2/m (No. 10)
Symmetry-distinct sites (fractional):
Ag1 0.0000 0.0000 0.0000 x1  2 O 2.09
Ag2 0.5000 0.5000 0.0000 x1  2 O 2.08
Pb1 0.0000 0.5000 0.5000 x1  6 O 2.19-2.31
Pb2 0.5000 0.0000 0.5000 x1  6 O 2.51-2.55
O1 0.0808 0.0000 0.3245 x2  1 Ag 2.09, 2 Pb 2.31
O2 0.3553 0.5000 0.6752 x2  1 Ag 2.08, 1 Pb 2.19

Output
* crystal system: monoclinic

---

Record 12
An optimized crystal structure of AgPb2O4. Source: the Alexandria database, functional GGA-PBE.

Unit cell a=6.1794 b=9.3920 c=8.2414 alpha=90.00 beta=90.00 gamma=90.00
Last column: nearest neighbours and their distance in Å.
Space group Cccm (No. 66)
Symmetry-distinct sites (fractional):
Ag1 0.0000 0.0000 0.2500 x4  4 O 2.53
Pb1 0.0039 0.2884 0.0000 x8  4 O 2.18-2.25
O1 0.1987 0.0859 0.0000 x8  2 Pb 2.18-2.25
O2 0.2500 0.2500 0.3204 x8  2 Pb 2.19

Output
* relative energy among the computed polymorphs: 160.7 meV/atom
* crystal system: orthorhombic

---

The evaluated E_form (uncorrected) for the records listed, in turn: -706, -496, -479, -477, -216, -416, -82, 93, 1223, -701, -632, -437 meV per atom.
The evaluated size of the total moment for the records listed, in turn: 0.0, 0.0, 0.0, 0.0, 0.0, 0.0, 0.0, 0.0, 0.0, 0.0, 0.0, 0.0 μB/cell.